! Sr2RuPb | the Alexandria database | PBE | relaxed; values from VASP
! formation energy from the elements = 0.098 eV/atom
! D(E_F) = 0.618 states/eV per atom
&SYSTEM
  ibrav = 0, nat = 4, ntyp = 3
/
ATOMIC_SPECIES
Sr 87.62 Sr.upf
Ru 101.07 Ru.upf
Pb 207.20 Pb.upf
CELL_PARAMETERS angstrom
3.6653 0.0000 0.0000
0.0000 3.6653 0.0000
0.0000 0.0000 9.1798
ATOMIC_POSITIONS crystal
Sr 0.0000 0.0000 0.0000
Sr 0.5000 0.5000 0.3943
Ru 0.5000 0.5000 0.7780
Pb 0.0000 0.0000 0.6432